Compound: Li2Ni5Ge3H2
Source: Alexandria
Functional: PBE
Structure: optimized geometry

Computed properties:
magnetization = 0.0 μB/f.u.
VASP energy = -4.680 eV per atom

Cell lengths 3.670, 3.670, 20.193 Å; angles 90.00, 90.00, 90.00 degrees
Space group I4/mmm (No. 139)
Inequivalent atoms, fractional coordinates:
1 Li 0.000 0.000 0.197
2 Ni 0.000 0.000 0.000
3 Ni 0.000 0.500 0.091
4 Ge 0.000 0.000 0.329
5 Ge 0.000 0.000 0.500
6 H 0.000 0.000 0.086